[1]
# CeSm3Sn2

Crystalline CeSm3Sn2 at its relaxed geometry (PBE, the Alexandria database).

Computed properties:
magnetic moment = 0.369 μB/atom
energy of formation = -0.28 eV per atom

```
CeSm3Sn2
1.0
7.5367 0.0000 0.0000
0.0000 7.6069 0.0000
-3.7684 -3.8034 7.3610
Ce Sn Sm
2 4 6
direct
0.0000 0.0000 0.0000 Ce
0.0000 0.5000 0.0000 Ce
0.5434 0.3575 0.7150 Sn
0.8284 0.1425 0.2850 Sn
0.4566 0.6425 0.2850 Sn
0.1716 0.8575 0.7150 Sn
0.7876 0.5376 0.5751 Sm
0.7876 0.0376 0.5751 Sm
0.2124 0.9624 0.4249 Sm
0.5000 0.7500 0.0000 Sm
0.5000 0.2500 0.0000 Sm
0.2124 0.4624 0.4249 Sm
```

=====

[2]
# ZnCdAs

Crystalline ZnCdAs at its relaxed geometry (PBE, the Alexandria database).

Computed properties:
magnetic moment = 0.000 μB/atom
energy of formation = 0.05 eV per atom

```
ZnCdAs
1.0
-2.7049 1.7875 2.5889
2.9769 -2.4739 1.4938
2.6067 3.3743 0.3937
As Cd Zn
1 1 1
direct
0.0000 0.0000 0.7434 As
0.6667 0.3333 0.3327 Cd
0.3333 0.6667 0.9239 Zn
```

=====

[3]
# BeIn2Ga2

Crystalline BeIn2Ga2 at its relaxed geometry (PBE, the Alexandria database).

Computed properties:
magnetic moment = 0.000 μB/atom
energy of formation = 0.35 eV per atom

```
BeIn2Ga2
1.0
6.7596 0.0000 0.0000
0.0000 6.7596 0.0000
0.0000 0.0000 4.8086
In Ga Be
4 4 2
direct
0.3366 0.8366 0.0000 In
0.8366 0.6634 0.0000 In
0.6634 0.1634 0.0000 In
0.1634 0.3366 0.0000 In
0.1508 0.6508 0.5000 Ga
0.8492 0.3492 0.5000 Ga
0.6508 0.8492 0.5000 Ga
0.3492 0.1508 0.5000 Ga
0.0000 0.0000 0.0000 Be
0.5000 0.5000 0.0000 Be
```

=====

[4]
# Y2ThUP4

Crystalline Y2ThUP4 at its relaxed geometry (PBE, the Alexandria database).

Computed properties:
magnetic moment = 0.311 μB/atom
energy of formation = -1.43 eV per atom

```
Y2ThUP4
1.0
4.0296 0.0000 0.0000
0.0000 6.9753 0.1210
0.0000 -2.4383 6.5505
P Y Th U
4 2 1 1
direct
0.5000 0.2424 0.2482 P
0.0000 0.7582 0.2523 P
0.0000 0.2418 0.7477 P
0.5000 0.7576 0.7518 P
0.0000 0.5000 0.5000 Y
0.5000 0.0000 0.5000 Y
0.5000 0.5000 0.0000 Th
0.0000 0.0000 0.0000 U
```

=====

[5]
# La4Sm4Y3

Crystalline La4Sm4Y3 at its relaxed geometry (PBE, the Alexandria database).

Computed properties:
magnetic moment = 0.000 μB/atom
energy of formation = 0.05 eV per atom

```
La4Sm4Y3
1.0
-2.7103 0.9837 2.1368
-3.5355 -3.6321 -2.8124
1.2330 -14.5686 11.2819
La Sm Y
4 4 3
direct
0.2698 0.2696 0.4603 La
0.5923 0.0931 0.8159 La
0.7303 0.7304 0.5396 La
0.4077 0.9070 0.1841 La
0.5450 0.5458 0.9104 Sm
0.4550 0.4542 0.0897 Sm
0.3177 0.8177 0.3641 Sm
0.6824 0.1824 0.6358 Sm
0.8633 0.3628 0.2726 Y
0.1367 0.6372 0.7274 Y
0.0000 0.0000 0.0000 Y
```

=====

[6]
# CaMgPbO4

Crystalline CaMgPbO4 at its relaxed geometry (PBE, the Alexandria database).

Computed properties:
magnetic moment = 0.000 μB/atom
formation energy from raw total energies = -2.006 eV per atom

```
CaMgPbO4
1.0
-3.9682 -3.6434 -3.7188
6.1704 1.0898 -1.8906
-1.3715 -3.9317 5.3155
O Ca Pb Mg
8 2 2 2
direct
0.2848 0.0258 0.2629 O
0.2589 0.9742 0.7371 O
0.2646 0.5293 0.7303 O
0.7152 0.9742 0.7371 O
0.2646 0.5293 0.2990 O
0.7354 0.4707 0.7010 O
0.7411 0.0258 0.2629 O
0.7354 0.4707 0.2697 O
0.1358 0.2715 0.8858 Ca
0.8642 0.7285 0.1142 Ca
0.5000 0.0000 0.0000 Pb
0.5000 0.0000 0.5000 Pb
0.0000 0.5000 0.5000 Mg
0.5000 0.5000 0.5000 Mg
```

=====

[7]
# K3In2Sb4

Crystalline K3In2Sb4 at its relaxed geometry (PBE, the Alexandria database).

Computed properties:
magnetic moment = 0.000 μB/atom
formation energy from raw total energies = -0.323 eV per atom

```
K3In2Sb4
1.0
-0.1265 4.2824 2.3631
-6.7057 -1.1537 -3.3336
-0.3128 -4.7229 8.5420
Sb K In
4 3 2
direct
0.7064 0.4127 0.0383 Sb
0.1127 0.2254 0.3932 Sb
0.2936 0.5873 0.9617 Sb
0.8873 0.7746 0.6068 Sb
0.5968 0.1935 0.6780 K
0.4032 0.8065 0.3220 K
0.0000 0.0000 0.0000 K
0.2868 0.5735 0.6553 In
0.7133 0.4265 0.3447 In
```

=====

[8]
# Pr2H5Pd

Crystalline Pr2H5Pd at its relaxed geometry (PBE, the Alexandria database).

Computed properties:
magnetic moment = 0.001 μB/atom
E_tot = -34.954 eV/cell

```
Pr2H5Pd
1.0
5.2912 0.0009 -0.0123
-2.6429 4.5131 -0.0901
-0.0106 -3.0169 4.3468
H Pr Pd
5 2 1
direct
0.7426 0.9670 0.2248 H
0.7419 0.9664 0.7419 H
0.2249 0.9678 0.2249 H
0.2248 0.9670 0.7426 H
0.2610 0.5212 0.2610 H
0.2561 0.5131 0.7567 Pr
0.7567 0.5131 0.2561 Pr
0.0149 0.0305 0.0149 Pd
```

=====

[9]
# LiTa2Pb

Crystalline LiTa2Pb at its relaxed geometry (PBE, the Alexandria database).

Computed properties:
magnetic moment = 0.000 μB/atom
energy of formation = 0.40 eV per atom

```
LiTa2Pb
1.0
-4.5392 -3.3004 2.0589
5.6317 -1.9779 -0.3274
0.7937 -0.7692 2.9566
Ta Pb Li
2 1 1
direct
0.0000 0.0000 0.0000 Ta
0.5000 0.5000 0.0000 Ta
0.0000 0.5000 0.5000 Pb
0.5000 0.0000 0.5000 Li
```

=====

[10]
# AcTcBr

Crystalline AcTcBr at its relaxed geometry (PBE, the Alexandria database).

Computed properties:
magnetic moment = 0.000 μB/atom
formation energy from raw total energies = -0.897 eV per atom

```
AcTcBr
1.0
-4.1407 -0.9880 -0.0939
-1.2668 -3.9555 0.9381
-2.8408 1.5552 12.3834
Br Ac Tc
2 2 2
direct
0.7167 0.7167 0.8499 Br
0.2833 0.2833 0.1501 Br
0.4380 0.4380 0.6860 Ac
0.5620 0.5620 0.3140 Ac
0.8386 0.8386 0.4842 Tc
0.1614 0.1614 0.5158 Tc
```

=====

[11]
# MgGaRh

Crystalline MgGaRh at its relaxed geometry (PBE, the Alexandria database).

Computed properties:
magnetic moment = 0.000 μB/atom
energy of formation = -0.53 eV per atom

```
MgGaRh
1.0
-1.2044 -4.2394 -0.2916
4.3316 -0.9930 -3.4539
4.3797 -1.6547 5.9683
Mg Ga Rh
4 4 4
direct
0.0000 0.7500 0.2500 Mg
0.0000 0.2500 0.2500 Mg
0.5000 0.2500 0.7500 Mg
0.5000 0.7500 0.7500 Mg
0.0000 0.5000 0.5820 Ga
0.5000 0.5000 0.0819 Ga
0.5000 0.0000 0.4180 Ga
0.0000 0.0000 0.9181 Ga
0.5000 0.5000 0.4162 Rh
0.0000 0.5000 0.9162 Rh
0.0000 0.0000 0.5838 Rh
0.5000 0.0000 0.0838 Rh
```

=====

[12]
# Cd3Ag5H12

Crystalline Cd3Ag5H12 at its relaxed geometry (PBE, the Alexandria database).

Computed properties:
magnetic moment = 0.000 μB/atom
E_tot = -194.803 eV/cell

```
Cd3Ag5H12
1.0
-7.4933 7.2423 1.4161
-0.7811 -4.0035 -9.6937
-1.1770 -7.6919 7.0749
Ag H Cd
20 48 12
direct
0.3750 0.1250 0.7500 Ag
0.5000 0.0000 0.0000 Ag
0.5000 0.5000 0.0000 Ag
0.1250 0.7500 0.3750 Ag
0.2500 0.8750 0.1250 Ag
0.8750 0.2500 0.6250 Ag
0.1250 0.3750 0.2500 Ag
0.6250 0.8750 0.2500 Ag
0.6250 0.7500 0.8750 Ag
0.0000 0.0000 0.5000 Ag
0.0000 0.5000 0.0000 Ag
0.0000 0.0000 0.0000 Ag
0.2500 0.3750 0.6250 Ag
0.5000 0.0000 0.5000 Ag
0.8750 0.6250 0.7500 Ag
0.5000 0.5000 0.5000 Ag
0.7500 0.1250 0.8750 Ag
0.0000 0.5000 0.5000 Ag
0.3750 0.2500 0.1250 Ag
0.7500 0.6250 0.3750 Ag
0.6381 0.0370 0.2091 H
0.4290 0.2909 0.3279 H
0.1011 0.1721 0.4630 H
0.3989 0.0370 0.3279 H
0.4290 0.1381 0.6011 H
0.9290 0.1011 0.6381 H
0.6011 0.9630 0.6721 H
0.1721 0.1011 0.9630 H
0.6011 0.6381 0.4290 H
0.3619 0.3989 0.0710 H
0.8279 0.8989 0.0370 H
0.5710 0.8619 0.3989 H
0.6381 0.6011 0.9290 H
0.1381 0.4290 0.1011 H
0.4630 0.6721 0.1011 H
0.8619 0.2909 0.4630 H
0.3279 0.5370 0.3989 H
0.7091 0.1381 0.0370 H
0.8279 0.9290 0.2909 H
0.3279 0.7909 0.4290 H
0.6721 0.2091 0.5710 H
0.1381 0.7091 0.5370 H
0.0710 0.1721 0.2091 H
0.7909 0.3279 0.9290 H
0.7091 0.5710 0.1721 H
0.5370 0.3279 0.8989 H
0.8989 0.8279 0.5370 H
0.2091 0.5370 0.6381 H
0.1721 0.0710 0.7091 H
0.9630 0.6011 0.1721 H
0.2091 0.6721 0.0710 H
0.2909 0.8619 0.9630 H
0.1011 0.9290 0.1381 H
0.5710 0.7091 0.6721 H
0.6721 0.4630 0.6011 H
0.4630 0.7909 0.8619 H
0.2909 0.4290 0.8279 H
0.0710 0.8989 0.3619 H
0.0370 0.3989 0.8279 H
0.9290 0.8279 0.7909 H
0.5370 0.2091 0.1381 H
0.8619 0.5710 0.8989 H
0.9630 0.3619 0.2909 H
0.8989 0.0710 0.8619 H
0.3989 0.3619 0.5710 H
0.0370 0.6381 0.7091 H
0.7909 0.4630 0.3619 H
0.3619 0.9630 0.7909 H
0.8750 0.1250 0.2500 Cd
0.3750 0.6250 0.2500 Cd
0.1250 0.2500 0.8750 Cd
0.2500 0.1250 0.3750 Cd
0.6250 0.2500 0.3750 Cd
0.8750 0.7500 0.1250 Cd
0.7500 0.8750 0.6250 Cd
0.6250 0.3750 0.7500 Cd
0.3750 0.7500 0.6250 Cd
0.7500 0.3750 0.1250 Cd
0.1250 0.8750 0.7500 Cd
0.2500 0.6250 0.8750 Cd
```

=====

[13]
# Nd4GaHg3

Crystalline Nd4GaHg3 at its relaxed geometry (PBE, the Alexandria database).

Computed properties:
magnetic moment = 0.131 μB/atom
energy of formation = -0.49 eV per atom

```
Nd4GaHg3
1.0
-2.7258 -2.6169 0.1475
2.0302 -1.9734 2.5068
-6.7482 7.6776 11.5089
Ga Hg Nd
1 3 4
direct
0.5000 0.5000 0.0000 Ga
0.5000 0.5000 0.2440 Hg
0.5000 0.5000 0.7560 Hg
0.5000 0.5000 0.5000 Hg
0.0000 0.0000 0.6280 Nd
0.0000 0.0000 0.1154 Nd
0.0000 0.0000 0.8846 Nd
0.0000 0.0000 0.3720 Nd
```

=====

[14]
# MgTaAs2

Crystalline MgTaAs2 at its relaxed geometry (PBE, the Alexandria database).

Computed properties:
magnetic moment = 0.194 μB/atom
energy of formation = -0.05 eV per atom

```
MgTaAs2
1.0
-3.2600 3.7533 3.4531
-5.0739 -1.9719 -2.6470
-4.6605 -3.2385 4.4253
Mg As Ta
2 4 2
direct
0.5000 0.5000 0.0000 Mg
0.2500 0.7500 0.5000 Mg
0.8750 0.8967 0.7500 As
0.1033 0.6250 0.2500 As
0.3750 0.3533 0.7500 As
0.6467 0.1250 0.2500 As
0.7500 0.2500 0.5000 Ta
0.0000 0.0000 0.0000 Ta
```

=====

[15]
# LiZrW

Crystalline LiZrW at its relaxed geometry (PBE, the Alexandria database).

Computed properties:
magnetic moment = 0.000 μB/atom
energy of formation = 0.36 eV per atom

```
LiZrW
1.0
4.8850 0.0000 0.0000
-2.4425 4.2305 0.0000
0.0000 0.0000 2.5731
Li W Zr
1 1 1
direct
0.0000 0.0000 0.9690 Li
0.6667 0.3333 0.2828 W
0.3333 0.6667 0.7482 Zr
```

=====

[16]
# Re2TcAs

Crystalline Re2TcAs at its relaxed geometry (PBE, the Alexandria database).

Computed properties:
magnetic moment = 0.000 μB/atom
energy of formation = 0.15 eV per atom

```
Re2TcAs
1.0
-0.7285 -1.8393 2.2162
-0.3556 -2.2110 -1.9519
6.3991 -1.6658 0.7211
Re Tc As
2 1 1
direct
0.0000 0.0000 0.5113 Re
0.0000 0.0000 0.9887 Re
0.5000 0.5000 0.2500 Tc
0.5000 0.5000 0.7500 As
```

=====

[17]
# CeDyY2S4

Crystalline CeDyY2S4 at its relaxed geometry (PBE, the Alexandria database).

Computed properties:
magnetic moment = 0.089 μB/atom
formation energy from raw total energies = -2.012 eV per atom

```
CeDyY2S4
1.0
3.9246 0.0000 0.0000
0.0000 6.8345 -0.1464
0.0000 2.3952 6.4034
Y Dy S Ce
2 1 4 1
direct
0.5000 0.0000 0.5000 Y
0.0000 0.0000 0.0000 Y
0.0000 0.5000 0.5000 Dy
0.5000 0.2477 0.7460 S
0.0000 0.2438 0.2570 S
0.5000 0.7523 0.2540 S
0.0000 0.7562 0.7430 S
0.5000 0.5000 0.0000 Ce
```

=====

[18]
# LaPr4Dy2Tm2

Crystalline LaPr4Dy2Tm2 at its relaxed geometry (PBE, the Alexandria database).

Computed properties:
magnetic moment = 0.000 μB/atom
energy of formation = 0.02 eV per atom

```
LaPr4Dy2Tm2
1.0
5.1271 0.0000 0.0000
-2.5635 7.6996 -0.0179
0.0000 -2.4966 7.7180
La Dy Pr Tm
1 2 4 2
direct
0.0000 0.0000 0.0000 La
0.8883 0.7766 0.3325 Dy
0.1117 0.2234 0.6675 Dy
0.2233 0.4466 0.3298 Pr
0.5542 0.1084 0.3321 Pr
0.4458 0.8916 0.6679 Pr
0.7767 0.5534 0.6702 Pr
0.3306 0.6611 0.0017 Tm
0.6694 0.3389 0.9983 Tm
```

=====

[19]
# La3MgRe

Crystalline La3MgRe at its relaxed geometry (PBE, the Alexandria database).

Computed properties:
magnetic moment = 0.000 μB/atom
energy of formation = 0.16 eV per atom

```
La3MgRe
1.0
5.5963 0.0000 0.0000
0.0000 5.5963 0.0000
0.0000 0.0000 5.5963
La Re Mg
3 1 1
direct
0.0000 0.0000 0.5000 La
0.0000 0.5000 0.0000 La
0.5000 0.0000 0.0000 La
0.0000 0.0000 0.0000 Re
0.5000 0.5000 0.5000 Mg
```

=====

[20]
# TbPr6Se8

Crystalline TbPr6Se8 at its relaxed geometry (PBE, the Alexandria database).

Computed properties:
magnetic moment = 0.000 μB/atom
formation energy from raw total energies = -1.876 eV per atom

```
TbPr6Se8
1.0
7.3527 0.0000 4.2451
2.4509 6.9322 4.2451
0.0000 0.0000 8.4902
Pr Se Tb
6 8 1
direct
0.5000 0.0000 0.0000 Pr
0.5000 0.5000 0.0000 Pr
0.0000 0.0000 0.5000 Pr
0.0000 0.5000 0.0000 Pr
0.0000 0.5000 0.5000 Pr
0.5000 0.0000 0.5000 Pr
0.2450 0.7550 0.7550 Se
0.7550 0.2450 0.2450 Se
0.2500 0.2500 0.2500 Se
0.2450 0.2450 0.7550 Se
0.7500 0.7500 0.7500 Se
0.7550 0.2450 0.7550 Se
0.2450 0.7550 0.2450 Se
0.7550 0.7550 0.2450 Se
0.0000 0.0000 0.0000 Tb
```